# 1
Computed, not measured: a geometry-optimized Ac2CeBi3 structure at the GGA-PBE level of DFT.

## Properties
- SG: Fddd
- Excess energy over the best structure of this formula in the dataset: 0.00 eV/f.u.
- DFT total energy: -0.192 hartree per atom
- Crystal system: orthorhombic
- Magnetic moment: 0.144 μB per atom
- D(E_F): 26.3 states/eV/cell

Unit cell a=15.894 b=15.152 c=8.300 alpha=79.49 beta=69.61 gamma=30.89
Sites, in units of the cell vectors:
1 Ac 0.043 0.043 0.207
2 Ac 0.124 0.124 0.626
3 Ac 0.207 0.207 0.043
4 Ac 0.374 0.374 0.876
5 Ac 0.626 0.626 0.124
6 Ac 0.793 0.793 0.957
7 Ac 0.876 0.876 0.374
8 Ac 0.957 0.957 0.793
9 Ce 0.291 0.291 0.459
10 Ce 0.459 0.459 0.291
11 Ce 0.541 0.541 0.709
12 Ce 0.709 0.709 0.541
13 Bi 0.039 0.540 0.223
14 Bi 0.138 0.612 0.612
15 Bi 0.223 0.698 0.039
16 Bi 0.302 0.777 0.460
17 Bi 0.388 0.862 0.862
18 Bi 0.460 0.961 0.302
19 Bi 0.540 0.039 0.698
20 Bi 0.612 0.138 0.138
21 Bi 0.698 0.223 0.540
22 Bi 0.777 0.302 0.961
23 Bi 0.862 0.388 0.388
24 Bi 0.961 0.460 0.777

=====

# 2
Computed, not measured: a geometry-optimized TaTiI2 structure at the GGA-PBE level of DFT.

## Properties
- SG: Fm-3m
- Excess energy over the best structure of this formula in the dataset: 0.00 eV/f.u.
- DFT total energy: -0.187 hartree per atom
- Crystal system: cubic
- Magnetic moment: 0.522 μB per atom
- D(E_F): 15.4 states/eV/cell

Unit cell a=6.917 b=6.917 c=6.917 alpha=90.00 beta=90.00 gamma=90.00
Sites, in units of the cell vectors:
1 Ta 0.000 0.000 0.000
2 Ta 0.000 0.500 0.500
3 Ta 0.500 0.000 0.500
4 Ta 0.500 0.500 0.000
5 Ti 0.000 0.000 0.500
6 Ti 0.000 0.500 0.000
7 Ti 0.500 0.000 0.000
8 Ti 0.500 0.500 0.500
9 I 0.250 0.250 0.250
10 I 0.250 0.250 0.750
11 I 0.250 0.750 0.250
12 I 0.250 0.750 0.750
13 I 0.750 0.250 0.250
14 I 0.750 0.250 0.750
15 I 0.750 0.750 0.250
16 I 0.750 0.750 0.750

=====

# 3
Computed, not measured: a geometry-optimized PrInRhAu structure at the GGA-PBE level of DFT.

## Properties
- SG: F-43m
- DFT total energy: -0.186 hartree per atom
- Crystal system: cubic
- Magnetic moment: 0.000 μB per atom
- D(E_F): 11.1 states/eV/cell

Unit cell a=7.009 b=7.009 c=7.009 alpha=90.00 beta=90.00 gamma=90.00
Sites, in units of the cell vectors:
1 Pr 0.000 0.000 0.000
2 Pr 0.000 0.500 0.500
3 Pr 0.500 0.000 0.500
4 Pr 0.500 0.500 0.000
5 In 0.000 0.000 0.500
6 In 0.000 0.500 0.000
7 In 0.500 0.000 0.000
8 In 0.500 0.500 0.500
9 Rh 0.250 0.250 0.750
10 Rh 0.250 0.750 0.250
11 Rh 0.750 0.250 0.250
12 Rh 0.750 0.750 0.750
13 Au 0.250 0.250 0.250
14 Au 0.250 0.750 0.750
15 Au 0.750 0.250 0.750
16 Au 0.750 0.750 0.250

=====

# 4
Computed, not measured: a geometry-optimized CsCaGaRe2 structure at the GGA-PBE level of DFT.

## Properties
- SG: P4/mmm
- DFT total energy: -0.164 hartree per atom
- Crystal system: tetragonal
- Magnetic moment: 0.000 μB per atom
- D(E_F): 4.9 states/eV/cell

Unit cell a=4.777 b=4.777 c=5.865 alpha=90.00 beta=90.00 gamma=90.00
Sites, in units of the cell vectors:
1 Cs 0.000 0.000 0.000
2 Ca 0.500 0.500 0.000
3 Ga 0.000 0.000 0.500
4 Re 0.000 0.500 0.500
5 Re 0.500 0.000 0.500

=====

# 5
Computed, not measured: a geometry-optimized KMn2InRe structure at the GGA-PBE level of DFT.

## Properties
- SG: P4/mmm
- DFT total energy: -0.153 hartree per atom
- Crystal system: tetragonal
- Magnetic moment: 0.704 μB per atom
- D(E_F): 9.2 states/eV/cell

Unit cell a=4.879 b=4.879 c=5.454 alpha=90.00 beta=90.00 gamma=90.00
Sites, in units of the cell vectors:
1 K 0.000 0.000 0.000
2 Mn 0.000 0.500 0.500
3 Mn 0.500 0.000 0.500
4 In 0.000 0.000 0.500
5 Re 0.500 0.500 0.000

=====

# 6
Computed, not measured: a geometry-optimized Nd3Dy5Ho4 structure at the GGA-PBE level of DFT.

## Properties
- SG: C2/m
- Excess energy over the best structure of this formula in the dataset: 3.23 eV/f.u.
- DFT total energy: -0.160 hartree per atom
- Crystal system: monoclinic
- Magnetic moment: 0.000 μB per atom
- D(E_F): 16.9 states/eV/cell

Unit cell a=9.671 b=9.671 c=8.558 alpha=116.22 beta=116.22 gamma=34.47
Sites, in units of the cell vectors:
1 Nd 0.000 0.000 0.000
2 Nd 0.314 0.314 0.814
3 Nd 0.686 0.686 0.186
4 Dy 0.130 0.130 0.425
5 Dy 0.131 0.131 0.836
6 Dy 0.500 0.500 0.000
7 Dy 0.869 0.869 0.164
8 Dy 0.870 0.870 0.575
9 Ho 0.300 0.300 0.301
10 Ho 0.500 0.500 0.335
11 Ho 0.500 0.500 0.665
12 Ho 0.700 0.700 0.699

=====

# 7
Computed, not measured: a geometry-optimized Sc3Ni2 structure at the GGA-PBE level of DFT.

## Properties
- SG: Fdd2
- Excess energy over the best structure of this formula in the dataset: 0.85 eV/f.u.
- DFT total energy: -0.232 hartree per atom
- Crystal system: orthorhombic
- Magnetic moment: 0.000 μB per atom
- D(E_F): 10.5 states/eV/cell

Unit cell a=7.384 b=5.494 c=8.392 alpha=60.01 beta=40.12 gamma=79.87
Sites, in units of the cell vectors:
1 Sc 0.000 0.000 0.000
2 Sc 0.250 0.250 0.250
3 Sc 0.381 0.621 0.377
4 Sc 0.621 0.381 0.622
5 Sc 0.628 0.873 0.629
6 Sc 0.873 0.628 0.869
7 Ni 0.059 0.441 0.061
8 Ni 0.189 0.811 0.191
9 Ni 0.441 0.059 0.439
10 Ni 0.811 0.189 0.809

=====

# 8
Computed, not measured: a geometry-optimized CrSb2SI structure at the GGA-PBE level of DFT.

## Properties
- SG: P4/mmm
- Excess energy over the best structure of this formula in the dataset: 0.00 eV/f.u.
- DFT total energy: -0.152 hartree per atom
- Crystal system: tetragonal
- Magnetic moment: 0.218 μB per atom
- D(E_F): 4.8 states/eV/cell

Unit cell a=5.085 b=5.085 c=5.023 alpha=90.00 beta=90.00 gamma=90.00
Sites, in units of the cell vectors:
1 Cr 0.000 0.000 0.000
2 Sb 0.000 0.500 0.000
3 Sb 0.500 0.000 0.000
4 S 0.500 0.500 0.500
5 I 0.000 0.000 0.500